This record from the Alexandria database describes a relaxed structure of K2CuBr5. The functional is PBE.

Results
SG: I4mm (107)
Excess energy over the best structure of this formula in the dataset (meV per atom): 0

a b c (Å): 7.030 7.030 7.030
angles (deg): 113.75 113.75 101.22
Positions (direct):
1 K 0.000 0.500 0.500
2 K 0.500 0.000 0.500
3 Cu 0.217 0.217 0.000
4 Br 0.033 0.033 0.560
5 Br 0.033 0.473 0.000
6 Br 0.473 0.033 0.000
7 Br 0.473 0.473 0.440
8 Br 0.908 0.908 0.000

***

This record from the Alexandria database describes a relaxed structure of K4CuBr. The functional is PBE.

Results
SG: F-43m (216)

a b c (Å): 7.437 7.437 7.437
angles (deg): 60.00 60.00 60.00
Positions (direct):
1 K 0.125 0.125 0.125
2 K 0.125 0.125 0.625
3 K 0.125 0.625 0.125
4 K 0.625 0.125 0.125
5 Cu 0.500 0.500 0.500
6 Br 0.750 0.750 0.750

***

This record from the Alexandria database describes a relaxed structure of KCuBr4. The functional is PBE.

Results
SG: Cmmm (65)

a b c (Å): 7.125 7.125 4.032
angles (deg): 90.00 90.00 92.04
Positions (direct):
1 K 0.000 0.000 0.000
2 Cu 0.500 0.500 0.500
3 Br 0.253 0.253 0.500
4 Br 0.332 0.668 0.000
5 Br 0.668 0.332 0.000
6 Br 0.747 0.747 0.500

***

Results for magnetization: 0.0; 0.0; 2.1 (in Bohr magnetons per cell, following the order of the records).
Results for energy relative to the elements, uncorrected: -93.0; 7.2; -50.6 (in kJ per mole of atoms, following the order of the records).